No. 1
Material: CuS2Br
Method: DFT, PBE
State: relaxed

## Properties
**Offset from the most stable computed form**: 0.6194 eV per atom
**Energy relative to the elements, uncorrected**: 1.9 eV/f.u.
**Final energy**: -0.2220 Ry/atom

Cell and atoms, written as CIF:
```
data_CuS2Br
_space_group_name_H-M_alt 'R -3 m'
_space_group_IT_number 166
_space_group_name_Hall '-R 3 2"'
_cell_length_a 5.0092
_cell_length_b 5.0092
_cell_length_c 13.2464
_cell_angle_alpha 90.00
_cell_angle_beta 90.00
_cell_angle_gamma 120.00
loop_
_atom_site_label
_atom_site_fract_x
_atom_site_fract_y
_atom_site_fract_z
_atom_site_occupancy
Cu1 0.0000 0.0000 0.0000 1
S1 0.0000 0.0000 0.1595 1
Br1 0.0000 0.0000 0.5000 1
```

---

No. 2
Material: CuSeSBr2
Method: DFT, PBE
State: relaxed

## Properties
**Offset from the most stable computed form**: 0.0551 eV per atom
**Energy relative to the elements, uncorrected**: 3.3 eV/f.u.
**Final energy**: -0.1726 Ry/atom

Cell and atoms, written as CIF:
```
data_CuSeSBr2
_space_group_name_H-M_alt 'P 4/m m m'
_space_group_IT_number 123
_space_group_name_Hall '-P 4 2'
_cell_length_a 5.005
_cell_length_b 5.005
_cell_length_c 5.060
_cell_angle_alpha 90.00
_cell_angle_beta 90.00
_cell_angle_gamma 90.00
loop_
_atom_site_label
_atom_site_fract_x
_atom_site_fract_y
_atom_site_fract_z
_atom_site_occupancy
Cu1 0.000 0.000 0.000 1
Se1 0.500 0.500 0.000 1
S1 0.500 0.500 0.500 1
Br1 0.000 0.500 0.500 1
```

---

No. 3
Material: Cu6Se2SBr2
Method: DFT, PBE
State: relaxed

## Properties
**Energy relative to the elements, uncorrected**: -1.1 eV/f.u.
**Final energy**: -0.2679 Ry/atom

Cell and atoms, written as CIF:
```
data_Cu6Se2SBr2
_space_group_name_H-M_alt 'C 1 2/m 1'
_space_group_IT_number 12
_cell_length_a 7.320
_cell_length_b 11.166
_cell_length_c 7.264
_cell_angle_alpha 90.00
_cell_angle_beta 119.49
_cell_angle_gamma 90.00
loop_
_space_group_symop_operation_xyz
'x,y,z'
'-x,-y,-z'
'-x,y,-z'
'x,-y,z'
'x+1/2,y+1/2,z'
'-x+1/2,-y+1/2,-z'
'-x+1/2,y+1/2,-z'
'x+1/2,-y+1/2,z'
loop_
_atom_site_label
_atom_site_fract_x
_atom_site_fract_y
_atom_site_fract_z
_atom_site_occupancy
Cu1 0.005 0.000 0.258 1
Cu2 0.199 0.337 0.074 1
Se1 0.000 0.148 0.000 1
S1 0.000 0.500 0.000 1
Br1 0.000 0.160 0.500 1
```

---

No. 4
Material: CuSe2S2Br2
Method: DFT, PBE
State: relaxed

## Properties
**Energy relative to the elements, uncorrected**: 0.3 eV/f.u.
**Final energy**: -0.2353 Ry/atom

Cell and atoms, written as CIF:
```
data_CuSe2S2Br2
_space_group_name_H-M_alt 'C 1 2/m 1'
_space_group_IT_number 12
_cell_length_a 13.795
_cell_length_b 4.569
_cell_length_c 6.687
_cell_angle_alpha 90.00
_cell_angle_beta 111.58
_cell_angle_gamma 90.00
loop_
_space_group_symop_operation_xyz
'x,y,z'
'-x,-y,-z'
'-x,y,-z'
'x,-y,z'
'x+1/2,y+1/2,z'
'-x+1/2,-y+1/2,-z'
'-x+1/2,y+1/2,-z'
'x+1/2,-y+1/2,z'
loop_
_atom_site_label
_atom_site_fract_x
_atom_site_fract_y
_atom_site_fract_z
_atom_site_occupancy
Cu1 0.000 0.000 0.000 1
Se1 0.218 0.500 0.179 1
S1 0.169 0.000 0.054 1
Br1 0.067 0.500 0.317 1
```

---

No. 5
Material: CuSeSBr2
Method: DFT, PBE
State: relaxed

## Properties
**Offset from the most stable computed form**: 0.0000 eV per atom
**Energy relative to the elements, uncorrected**: 3.0 eV/f.u.
**Final energy**: -0.1767 Ry/atom

Cell and atoms, written as CIF:
```
data_CuSeSBr2
_space_group_name_H-M_alt 'P 4/m m m'
_space_group_IT_number 123
_space_group_name_Hall '-P 4 2'
_cell_length_a 4.787
_cell_length_b 4.787
_cell_length_c 5.173
_cell_angle_alpha 90.00
_cell_angle_beta 90.00
_cell_angle_gamma 90.00
loop_
_atom_site_label
_atom_site_fract_x
_atom_site_fract_y
_atom_site_fract_z
_atom_site_occupancy
Cu1 0.000 0.000 0.000 1
Se1 0.000 0.000 0.500 1
S1 0.500 0.500 0.500 1
Br1 0.000 0.500 0.000 1
```

---

No. 6
Material: CuTeSBr
Method: DFT, PBE
State: relaxed

## Properties
**Offset from the most stable computed form**: 0.1668 eV per atom
**Energy relative to the elements, uncorrected**: -0.2 eV/f.u.
**Final energy**: -0.2428 Ry/atom

Cell and atoms, written as CIF:
```
data_CuTeSBr
_space_group_name_H-M_alt 'C 1 m 1'
_space_group_IT_number 8
_cell_length_a 8.688
_cell_length_b 3.730
_cell_length_c 7.590
_cell_angle_alpha 90.00
_cell_angle_beta 109.45
_cell_angle_gamma 90.00
loop_
_space_group_symop_operation_xyz
'x,y,z'
'x,-y,z'
'x+1/2,y+1/2,z'
'x+1/2,-y+1/2,z'
loop_
_atom_site_label
_atom_site_fract_x
_atom_site_fract_y
_atom_site_fract_z
_atom_site_occupancy
Cu1 0.000 0.000 0.000 1
Te1 0.010 0.000 0.648 1
S1 0.271 0.500 0.762 1
Br1 0.121 0.500 0.196 1
```

---

No. 7
Material: Cu2TeS2Br
Method: DFT, PBE
State: relaxed

## Properties
**Energy relative to the elements, uncorrected**: -0.7 eV/f.u.
**Final energy**: -0.2684 Ry/atom

Cell and atoms, written as CIF:
```
data_Cu2TeS2Br
_space_group_name_H-M_alt 'P 1 21/m 1'
_space_group_IT_number 11
_cell_length_a 6.651
_cell_length_b 5.995
_cell_length_c 8.237
_cell_angle_alpha 90.00
_cell_angle_beta 104.39
_cell_angle_gamma 90.00
loop_
_space_group_symop_operation_xyz
'x,y,z'
'-x,-y,-z'
'-x,y+1/2,-z'
'x,-y+1/2,z'
loop_
_atom_site_label
_atom_site_fract_x
_atom_site_fract_y
_atom_site_fract_z
_atom_site_occupancy
Cu1 0.071 0.034 0.224 1
Te1 0.359 0.250 0.638 1
S1 0.006 0.750 0.376 1
S2 0.346 0.250 0.345 1
Br1 0.202 0.750 0.983 1
```

---

No. 8
Material: CuTeSBr
Method: DFT, PBE
State: relaxed

## Properties
**Offset from the most stable computed form**: 0.0000 eV per atom
**Energy relative to the elements, uncorrected**: -0.8 eV/f.u.
**Final energy**: -0.2551 Ry/atom

Cell and atoms, written as CIF:
```
data_CuTeSBr
_space_group_name_H-M_alt 'P 1 21/c 1'
_space_group_IT_number 14
_cell_length_a 7.964
_cell_length_b 5.008
_cell_length_c 12.639
_cell_angle_alpha 90.00
_cell_angle_beta 113.91
_cell_angle_gamma 90.00
loop_
_space_group_symop_operation_xyz
'x,y,z'
'-x,-y,-z'
'-x,y+1/2,-z+1/2'
'x,-y+1/2,z+1/2'
loop_
_atom_site_label
_atom_site_fract_x
_atom_site_fract_y
_atom_site_fract_z
_atom_site_occupancy
Cu1 0.189 0.124 0.251 1
Te1 0.296 0.018 0.649 1
S1 0.408 0.693 0.823 1
Br1 0.072 0.168 0.883 1
```

---

No. 9
Material: Cu2SbBr
Method: DFT, PBE
State: relaxed

## Properties
**Offset from the most stable computed form**: 0.3834 eV per atom
**Energy relative to the elements, uncorrected**: 1.3 eV/f.u.
**Final energy**: -0.2326 Ry/atom

Cell and atoms, written as CIF:
```
data_Cu2SbBr
_space_group_name_H-M_alt 'C 1 2/m 1'
_space_group_IT_number 12
_cell_length_a 5.898
_cell_length_b 7.618
_cell_length_c 4.189
_cell_angle_alpha 90.00
_cell_angle_beta 118.42
_cell_angle_gamma 90.00
loop_
_space_group_symop_operation_xyz
'x,y,z'
'-x,-y,-z'
'-x,y,-z'
'x,-y,z'
'x+1/2,y+1/2,z'
'-x+1/2,-y+1/2,-z'
'-x+1/2,y+1/2,-z'
'x+1/2,-y+1/2,z'
loop_
_atom_site_label
_atom_site_fract_x
_atom_site_fract_y
_atom_site_fract_z
_atom_site_occupancy
Cu1 0.250 0.250 0.000 1
Sb1 0.000 0.000 0.500 1
Br1 0.000 0.500 0.500 1
```

---

No. 10
Material: CuSbBr2
Method: DFT, PBE
State: relaxed

## Properties
**Offset from the most stable computed form**: 0.2470 eV per atom
**Energy relative to the elements, uncorrected**: 0.0 eV/f.u.
**Final energy**: -0.2121 Ry/atom

Cell and atoms, written as CIF:
```
data_CuSbBr2
_space_group_name_H-M_alt 'R -3 m'
_space_group_IT_number 166
_space_group_name_Hall '-R 3 2"'
_cell_length_a 3.6116
_cell_length_b 3.6116
_cell_length_c 25.2456
_cell_angle_alpha 90.00
_cell_angle_beta 90.00
_cell_angle_gamma 120.00
loop_
_atom_site_label
_atom_site_fract_x
_atom_site_fract_y
_atom_site_fract_z
_atom_site_occupancy
Cu1 0.0000 0.0000 0.0000 1
Sb1 0.0000 0.0000 0.5000 1
Br1 0.0000 0.0000 0.2712 1
```

---

No. 11
Material: Cu2SbBr
Method: DFT, PBE
State: relaxed

## Properties
**Offset from the most stable computed form**: 0.4367 eV per atom
**Energy relative to the elements, uncorrected**: 1.5 eV/f.u.
**Final energy**: -0.2287 Ry/atom

Cell and atoms, written as CIF:
```
data_Cu2SbBr
_space_group_name_H-M_alt 'C m m m'
_space_group_IT_number 65
_space_group_name_Hall '-C 2 2'
_cell_length_a 6.064
_cell_length_b 7.617
_cell_length_c 3.369
_cell_angle_alpha 90.00
_cell_angle_beta 90.00
_cell_angle_gamma 90.00
loop_
_atom_site_label
_atom_site_fract_x
_atom_site_fract_y
_atom_site_fract_z
_atom_site_occupancy
Cu1 0.250 0.250 0.000 1
Sb1 0.000 0.000 0.500 1
Br1 0.000 0.500 0.500 1
```

---

No. 12
Material: CuSb2Br6
Method: DFT, PBE
State: relaxed

## Properties
**Energy relative to the elements, uncorrected**: -3.8 eV/f.u.
**Final energy**: -0.2135 Ry/atom

Cell and atoms, written as CIF:
```
data_CuSb2Br6
_space_group_name_H-M_alt 'C 1 2/c 1'
_space_group_IT_number 15
_cell_length_a 11.570
_cell_length_b 20.137
_cell_length_c 6.345
_cell_angle_alpha 90.00
_cell_angle_beta 116.17
_cell_angle_gamma 90.00
loop_
_space_group_symop_operation_xyz
'x,y,z'
'-x,-y,-z'
'-x,y,-z+1/2'
'x,-y,z+1/2'
'x+1/2,y+1/2,z'
'-x+1/2,-y+1/2,-z'
'-x+1/2,y+1/2,-z+1/2'
'x+1/2,-y+1/2,z+1/2'
loop_
_atom_site_label
_atom_site_fract_x
_atom_site_fract_y
_atom_site_fract_z
_atom_site_occupancy
Cu1 0.000 0.002 0.250 1
Sb1 0.118 0.409 0.644 1
Br1 0.108 0.076 0.083 1
Br2 0.133 0.284 0.643 1
Br3 0.147 0.419 0.201 1
```